Record 1
DFT (PBE-GGA) results for a geometry-optimized TbIr3 structure.

```
TbIr3
1.0
5.317 0.000 0.000
-2.658 4.604 0.000
0.000 0.000 17.539
Tb Ir
6 18
Cartesian
0.000 3.070 0.719
0.000 3.070 4.385
0.000 3.070 8.050
2.658 1.535 9.489
2.658 1.535 13.154
2.658 1.535 16.820
0.000 0.000 0.000
0.000 0.000 4.385
0.000 0.000 8.769
0.000 0.000 13.154
0.000 1.538 10.991
0.000 1.538 15.318
-1.327 3.835 10.991
-1.327 3.835 15.318
0.000 3.070 13.154
1.332 0.769 2.221
1.332 0.769 6.548
1.327 3.835 10.991
1.327 3.835 15.318
2.658 1.535 4.385
3.985 0.769 2.221
3.985 0.769 6.548
2.658 3.067 2.221
2.658 3.067 6.548
```

Spin magnetization   0.00 μB/f.u.
E_form   -0.596 eV per atom
Symmetry   P6_3/mmc
Crystal system   hexagonal

Record 2
DFT (PBE-GGA) results for a geometry-optimized Tb3Ir2 structure.

```
Tb3Ir2
1.0
3.471 2.004 6.319
-3.471 2.004 6.319
0.000 -4.008 6.319
Tb Ir
6 4
Cartesian
-2.269 0.078 7.899
-1.202 -1.926 11.058
1.067 -2.004 7.899
-1.067 2.004 11.058
1.202 1.926 7.899
2.269 -0.078 11.058
0.000 0.000 3.260
0.000 0.000 6.219
0.000 0.000 12.738
0.000 0.000 15.698
```

Spin magnetization   0.00 μB/f.u.
E_form   -0.674 eV per atom
Distance to the lowest polymorph of the same formula   0.51 eV per formula unit
Symmetry   R-3c
Crystal system   trigonal

Record 3
DFT (PBE-GGA) results for a geometry-optimized Tb3Ir2 structure.

```
Tb3Ir2
1.0
-5.648 5.648 12.657
5.648 -5.648 12.657
5.648 5.648 -12.657
Tb Ir
42 28
Cartesian
8.987 0.842 -1.820
4.748 -3.270 7.750
4.748 3.270 -4.907
5.648 0.000 2.863
8.918 -0.900 4.907
0.842 2.310 -1.820
8.987 0.842 1.820
3.959 1.689 0.000
6.490 3.339 -1.820
2.378 -0.900 7.750
5.648 0.000 6.329
2.378 0.900 4.907
0.842 2.310 1.820
3.959 -1.689 12.657
3.339 4.806 -1.820
6.490 3.339 1.820
3.270 6.548 -4.907
5.648 0.000 9.794
-0.900 2.378 4.907
4.748 3.270 4.907
3.339 4.806 1.820
2.310 0.842 10.837
0.900 2.378 7.750
6.548 3.270 7.750
0.000 5.648 2.863
2.378 -0.900 17.564
-0.842 2.310 10.837
2.310 0.842 14.477
1.689 7.337 0.000
4.806 3.339 10.837
3.270 4.748 7.750
0.000 5.648 6.329
3.270 6.548 4.907
-0.842 2.310 14.477
1.689 3.959 12.657
-3.339 4.806 10.837
4.806 3.339 14.477
-3.270 6.548 7.750
0.000 5.648 9.794
0.900 2.378 17.564
0.900 8.918 4.907
-3.339 4.806 14.477
0.000 0.000 0.000
3.916 -1.732 4.761
3.620 2.029 -2.688
6.755 1.106 0.000
0.000 0.000 3.383
7.380 -1.732 7.896
3.620 -2.029 9.969
0.000 0.000 6.329
3.620 2.029 2.688
7.380 1.732 4.761
0.000 0.000 9.275
1.106 4.542 0.000
3.620 -2.029 15.346
3.916 1.732 7.896
0.000 0.000 12.657
1.732 3.916 4.761
2.029 7.677 -2.688
4.542 1.106 12.657
0.000 0.000 16.040
-1.732 3.916 7.896
2.029 3.620 9.969
0.000 0.000 18.986
2.029 7.677 2.688
-1.732 7.380 4.761
0.000 0.000 21.932
-1.106 4.542 12.657
2.029 3.620 15.346
1.732 7.380 7.896
```

Spin magnetization   0.00 μB/f.u.
E_form   -0.776 eV per atom
Distance to the lowest polymorph of the same formula   0.00 eV per formula unit
Symmetry   I4/mcm
Crystal system   tetragonal

Record 4
DFT (PBE-GGA) results for a geometry-optimized Tb3Ir2 structure.

```
Tb3Ir2
1.0
1.986 -6.486 0.000
1.986 6.486 0.000
0.000 0.000 9.679
Tb Ir
6 4
Cartesian
1.986 5.183 7.260
1.986 1.873 5.444
1.986 1.873 9.075
1.986 -1.873 0.604
1.986 -1.873 4.235
1.986 -5.183 2.420
0.000 0.000 0.000
0.000 0.000 4.840
1.986 3.328 2.420
1.986 -3.328 7.260
```

Spin magnetization   0.00 μB/f.u.
E_form   -0.701 eV per atom
Distance to the lowest polymorph of the same formula   0.38 eV per formula unit
Symmetry   Cmcm
Crystal system   orthorhombic